This record from Alexandria describes K3GeI after structural relaxation. The functional is GGA-PBE.

E_tot   -10.8 eV/cell
Formation energy from raw total energies   -0.2630 eV/atom
ΔE to the lowest computed polymorph   0.00 eV/f.u.

Cell lengths 6.465, 6.465, 6.465 Å; angles 90.00, 90.00, 90.00 degrees
Fractional coordinates of all 5 atoms:
K (0.500, 0.000, 0.000)
K (0.000, 0.000, 0.500)
K (0.000, 0.500, 0.000)
I (0.500, 0.500, 0.500)
Ge (0.000, 0.000, 0.000)